Material: FeHgSb
Method: DFT, PBE
State: relaxed

Geometry as extended XYZ:
```
3
Lattice="-1.5715 1.5715 6.3511 1.5715 -1.5715 6.3511 1.5715 1.5715 -6.3511" Properties=species:S:1:pos:R:3 pbc="T T T"
Fe 0.0000 0.0000 0.0000
Hg 0.0000 0.0000 8.1380
Sb 0.0000 0.0000 4.8085
```

Values from the calculation:
- Calculated volume: 63 Å³ per cell
- E_form (uncorrected): 363 meV/atom
- Energy above the most stable polymorph in this dataset: 46 meV/atom
- E_tot: -3.933 eV/atom